# 1
The following is a DFT calculation (PBE) of an optimized crystal structure of LaIr2Rh.

Properties
- formation enthalpy at 0 K (eV/atom) = -0.071
- DOS at the Fermi energy (states/eV per cell) = 4.5
- volume (Å³ per cell) = 72
- energy above the lowest structure with this stoichiometry (eV/atom) = 0.151
- E (eV/atom) = -7.571

Cell: 5.046 5.046 5.046 Å, 130.79 130.79 72.14°
Element x y z (fractional)
La: 0.000 0.000 0.000
Ir: 0.250 0.750 0.500
Ir: 0.500 0.500 0.000
Rh: 0.750 0.250 0.500

***

# 2
The following is a DFT calculation (PBE) of an optimized crystal structure of La2IrRh.

Properties
- formation enthalpy at 0 K (eV/atom) = -0.630
- DOS at the Fermi energy (states/eV per cell) = 1.9
- volume (Å³ per cell) = 93
- E (eV/atom) = -7.147

Cell: 3.470 5.156 5.176 Å, 90.00 90.00 90.00°
Element x y z (fractional)
La: 0.000 0.000 0.000
La: 0.000 0.500 0.492
Ir: 0.500 0.000 0.508
Rh: 0.500 0.500 0.977